(1)
PuMg2Cd2Hg2 (PBE-GGA, relaxed); space group = R-3m; energy of formation = -7.5 kJ/mol of atoms
1.0
2.501 1.444 7.609
-2.501 1.444 7.609
0.000 -2.887 7.609
Pu Mg Cd Hg
1 2 2 2
direct
0.000 0.000 0.000 Pu
0.143 0.143 0.143 Mg
0.857 0.857 0.857 Mg
0.429 0.429 0.429 Cd
0.571 0.571 0.571 Cd
0.273 0.273 0.273 Hg
0.727 0.727 0.727 Hg

---

(2)
Tm2Si4Mo3 (PBE-GGA, relaxed); space group = P2_1/c; uncorrected energy = -7.71 eV per atom
1.0
6.826 0.000 0.000
0.000 6.886 0.000
-2.171 0.000 6.342
Tm Si Mo
4 8 6
direct
0.191 0.170 0.061 Tm
0.191 0.330 0.561 Tm
0.809 0.670 0.439 Tm
0.809 0.830 0.939 Tm
0.089 0.543 0.866 Si
0.089 0.957 0.366 Si
0.497 0.631 0.629 Si
0.497 0.869 0.129 Si
0.503 0.131 0.871 Si
0.503 0.369 0.371 Si
0.911 0.043 0.634 Si
0.911 0.457 0.134 Si
0.248 0.663 0.249 Mo
0.248 0.837 0.749 Mo
0.500 0.000 0.500 Mo
0.500 0.500 0.000 Mo
0.752 0.163 0.251 Mo
0.752 0.337 0.751 Mo

---

(3)
Mg12In3Rh (PBE-GGA, relaxed); space group = P4/mmm; energy of formation = -12.1 kJ/mol of atoms
1.0
4.420 0.000 0.000
0.000 4.420 0.000
0.000 0.000 17.527
Mg In Rh
12 3 1
direct
0.000 0.000 0.000 Mg
0.000 0.000 0.238 Mg
0.000 0.000 0.500 Mg
0.000 0.000 0.762 Mg
0.000 0.500 0.106 Mg
0.000 0.500 0.369 Mg
0.000 0.500 0.631 Mg
0.000 0.500 0.894 Mg
0.500 0.000 0.106 Mg
0.500 0.000 0.369 Mg
0.500 0.000 0.631 Mg
0.500 0.000 0.894 Mg
0.500 0.500 0.239 In
0.500 0.500 0.500 In
0.500 0.500 0.761 In
0.500 0.500 0.000 Rh

---

(4)
Pm3Nd12Mg (PBE-GGA, relaxed); space group = P4/mmm; energy of formation = 1.1 kJ/mol of atoms
1.0
5.153 0.000 0.000
0.000 5.153 0.000
0.000 0.000 20.708
Pm Nd Mg
3 12 1
direct
0.000 0.000 0.000 Pm
0.000 0.000 0.253 Pm
0.000 0.000 0.747 Pm
0.000 0.500 0.126 Nd
0.000 0.500 0.378 Nd
0.000 0.500 0.622 Nd
0.000 0.500 0.874 Nd
0.500 0.000 0.126 Nd
0.500 0.000 0.378 Nd
0.500 0.000 0.622 Nd
0.500 0.000 0.874 Nd
0.500 0.500 0.000 Nd
0.500 0.500 0.254 Nd
0.500 0.500 0.500 Nd
0.500 0.500 0.746 Nd
0.000 0.000 0.500 Mg

---

(5)
Na2Sr4F (PBE-GGA, relaxed); space group = I4/mmm; uncorrected energy = -2.29 eV per atom
1.0
-2.625 2.625 10.615
2.625 -2.625 10.615
2.625 2.625 -10.615
Na Sr F
2 4 1
direct
0.135 0.135 0.000 Na
0.865 0.865 0.000 Na
0.000 0.500 0.500 Sr
0.315 0.315 0.000 Sr
0.500 0.000 0.500 Sr
0.685 0.685 0.000 Sr
0.500 0.500 0.000 F

---

(6)
KNa2AuO (PBE-GGA, relaxed); space group = P4/mmm; uncorrected energy = -3.18 eV per atom
1.0
4.663 0.000 0.000
0.000 4.663 0.000
0.000 0.000 5.345
K Na Au O
1 2 1 1
direct
0.000 0.000 0.000 K
0.000 0.500 0.500 Na
0.500 0.000 0.500 Na
0.500 0.500 0.000 Au
0.000 0.000 0.500 O

---

(7)
TaCu2SnH (PBE-GGA, relaxed); space group = P4/mmm; uncorrected energy = -5.40 eV per atom
1.0
4.057 0.000 0.000
0.000 4.057 0.000
0.000 0.000 4.009
Ta Cu Sn H
1 2 1 1
direct
0.000 0.000 0.000 Ta
0.000 0.500 0.500 Cu
0.500 0.000 0.500 Cu
0.500 0.500 0.000 Sn
0.000 0.000 0.500 H

---

(8)
NdErTmCd (PBE-GGA, relaxed); space group = P4mm; energy of formation = -14.4 kJ/mol of atoms; energy above the lowest structure with this stoichiometry = 0 meV/atom
1.0
3.599 0.000 0.000
0.000 3.599 0.000
0.000 0.000 9.009
Nd Er Tm Cd
1 1 1 1
direct
0.000 0.000 0.000 Nd
0.500 0.500 0.719 Er
0.500 0.500 0.279 Tm
0.000 0.000 0.498 Cd

---

(9)
InPtCl (PBE-GGA, relaxed); space group = P3m1; energy above the lowest structure with this stoichiometry = 0 meV/atom
1.0
3.812 0.000 0.000
-1.906 3.301 0.000
0.000 0.000 5.364
In Pt Cl
1 1 1
direct
0.000 0.000 0.000 In
0.667 0.333 0.261 Pt
0.333 0.667 0.609 Cl

---

(10)
Nd5GaAu2 (PBE-GGA, relaxed); space group = I4/mcm; energy of formation = -49.8 kJ/mol of atoms
1.0
-4.149 4.149 6.590
4.149 -4.149 6.590
4.149 4.149 -6.590
Nd Ga Au
10 2 4
direct
0.000 0.000 0.000 Nd
0.011 0.511 0.818 Nd
0.193 0.011 0.500 Nd
0.307 0.807 0.818 Nd
0.489 0.307 0.500 Nd
0.500 0.500 0.000 Nd
0.511 0.693 0.500 Nd
0.693 0.193 0.182 Nd
0.807 0.989 0.500 Nd
0.989 0.489 0.182 Nd
0.250 0.250 0.000 Ga
0.750 0.750 0.000 Ga
0.132 0.368 0.500 Au
0.368 0.868 0.236 Au
0.632 0.132 0.764 Au
0.868 0.632 0.500 Au

---

(11)
HoPu2Mg (PBE-GGA, relaxed); space group = P4/mmm; energy of formation = 26.9 kJ/mol of atoms; energy above the lowest structure with this stoichiometry = 117 meV/atom
1.0
4.104 0.000 0.000
0.000 4.104 0.000
0.000 0.000 6.646
Ho Pu Mg
1 2 1
direct
0.000 0.000 0.000 Ho
0.500 0.500 0.263 Pu
0.500 0.500 0.737 Pu
0.000 0.000 0.500 Mg

---

(12)
SiBMo2 (PBE-GGA, relaxed); space group = P2_1/m; energy above the lowest structure with this stoichiometry = 0 meV/atom
1.0
4.817 0.000 0.000
0.000 3.169 0.000
-2.333 0.000 6.583
Si B Mo
2 2 4
direct
0.136 0.250 0.300 Si
0.864 0.750 0.700 Si
0.368 0.750 0.199 B
0.632 0.250 0.801 B
0.233 0.250 0.952 Mo
0.324 0.750 0.618 Mo
0.676 0.250 0.382 Mo
0.767 0.750 0.048 Mo